[1]
Computed, not measured: NaSr4Ca5 after structural relaxation at the PBE-GGA level of DFT.

As for the space-group type: I4mm. The density of states at the Fermi level is 1.4807 states/eV/atom. Its formation energy is 0.111 eV/atom. As for the energy above the lowest structure with this stoichiometry: 0.054 eV/atom.

a = 6.480 Å, b = 9.192 Å, c = 9.192 Å
α = 82.86°, β = 69.36°, γ = 69.36°
Atoms (fractional coordinates):
Na 0.177 0.000 0.000
Sr 0.460 0.317 0.683
Sr 0.777 0.683 0.683
Sr 0.144 0.317 0.317
Sr 0.460 0.683 0.317
Ca 0.782 0.359 0.000
Ca 0.141 0.000 0.641
Ca 0.782 0.000 0.359
Ca 0.141 0.641 0.000
Ca 0.646 0.000 0.000


[2]
Computed, not measured: NaSr5Ca2 after structural relaxation at the PBE-GGA level of DFT.

As for the space-group type: Pbam. The density of states at the Fermi level is 1.1162 states/eV/atom. Its formation energy is 0.029 eV/atom.

a = 6.120 Å, b = 8.083 Å, c = 15.990 Å
α = 90.00°, β = 90.00°, γ = 90.00°
Atoms (fractional coordinates):
Na 0.000 0.000 0.500
Na 0.000 0.500 0.000
Sr 0.000 0.000 0.000
Sr 0.000 0.500 0.500
Sr 0.000 0.571 0.759
Sr 0.000 0.429 0.241
Sr 0.000 0.929 0.259
Sr 0.000 0.071 0.741
Sr 0.500 0.307 0.888
Sr 0.500 0.693 0.112
Sr 0.500 0.193 0.388
Sr 0.500 0.807 0.612
Ca 0.500 0.315 0.635
Ca 0.500 0.685 0.365
Ca 0.500 0.185 0.135
Ca 0.500 0.815 0.865


[3]
Computed, not measured: Na6Sr3Ca2 after structural relaxation at the PBE-GGA level of DFT.

As for the space-group type: P-62m. The density of states at the Fermi level is 0.9091 states/eV/atom. Its formation energy is 0.155 eV/atom.

a = 6.000 Å, b = 9.754 Å, c = 9.754 Å
α = 120.00°, β = 90.00°, γ = 90.00°
Atoms (fractional coordinates):
Na 0.500 0.193 0.000
Na 0.500 0.807 0.807
Na 0.000 0.784 0.000
Na 0.000 0.000 0.784
Na 0.500 0.000 0.193
Na 0.000 0.216 0.216
Sr 0.500 0.543 0.000
Sr 0.500 0.000 0.543
Sr 0.500 0.457 0.457
Ca 0.000 0.667 0.333
Ca 0.000 0.333 0.667


[4]
Computed, not measured: Na7Sr12Ca after structural relaxation at the PBE-GGA level of DFT.

As for the space-group type: R-3. The density of states at the Fermi level is 0.9146 states/eV/atom. Its formation energy is 0.059 eV/atom.

a = 10.766 Å, b = 10.766 Å, c = 10.766 Å
α = 109.13°, β = 109.13°, γ = 109.13°
Atoms (fractional coordinates):
Na 0.901 0.624 0.754
Na 0.376 0.246 0.099
Na 0.246 0.099 0.376
Na 0.500 0.500 0.500
Na 0.754 0.901 0.624
Na 0.624 0.754 0.901
Na 0.099 0.376 0.246
Sr 0.079 0.348 0.885
Sr 0.652 0.115 0.921
Sr 0.657 0.205 0.554
Sr 0.795 0.446 0.343
Sr 0.115 0.921 0.652
Sr 0.446 0.343 0.795
Sr 0.554 0.657 0.205
Sr 0.885 0.079 0.348
Sr 0.205 0.554 0.657
Sr 0.343 0.795 0.446
Sr 0.348 0.885 0.079
Sr 0.921 0.652 0.115
Ca 0.000 0.000 0.000


[5]
Computed, not measured: Na2Sr6Ca after structural relaxation at the PBE-GGA level of DFT.

As for the space-group type: P4_2/mnm. The density of states at the Fermi level is 0.9862 states/eV/atom. Its formation energy is 0.047 eV/atom. As for the energy above the lowest structure with this stoichiometry: 0.007 eV/atom.

a = 6.044 Å, b = 12.196 Å, c = 12.196 Å
α = 90.01°, β = 89.99°, γ = 90.00°
Atoms (fractional coordinates):
Na 0.000 0.325 0.825
Na 0.500 0.825 0.674
Na 0.500 0.175 0.326
Na 0.000 0.675 0.175
Sr 0.000 0.003 0.173
Sr 0.000 0.673 0.503
Sr 0.000 0.652 0.848
Sr 0.500 0.152 0.652
Sr 0.500 0.173 0.997
Sr 0.500 0.503 0.327
Sr 0.000 0.997 0.827
Sr 0.000 0.327 0.497
Sr 0.000 0.348 0.152
Sr 0.500 0.848 0.348
Sr 0.500 0.827 0.003
Sr 0.500 0.497 0.673
Ca 0.500 0.500 0.000
Ca 0.000 0.000 0.500


[6]
Computed, not measured: Na2Sr3Ca7 after structural relaxation at the PBE-GGA level of DFT.

As for the space-group type: P2/m. The density of states at the Fermi level is 1.0622 states/eV/atom. Its formation energy is 0.072 eV/atom.

a = 3.961 Å, b = 6.715 Å, c = 20.275 Å
α = 87.86°, β = 90.00°, γ = 90.00°
Atoms (fractional coordinates):
Na 0.500 0.767 0.297
Na 0.500 0.233 0.703
Sr 0.500 0.500 0.000
Sr 0.000 0.265 0.354
Sr 0.000 0.735 0.646
Ca 0.500 0.754 0.464
Ca 0.500 0.246 0.536
Ca 0.000 0.639 0.159
Ca 0.000 0.000 0.000
Ca 0.000 0.361 0.841
Ca 0.500 0.855 0.836
Ca 0.500 0.145 0.164


[7]
Computed, not measured: Na5Sr5Ca after structural relaxation at the PBE-GGA level of DFT.

As for the space-group type: C2/m. The density of states at the Fermi level is 0.8284 states/eV/atom. Its formation energy is 0.115 eV/atom. As for the energy above the lowest structure with this stoichiometry: 0.065 eV/atom.

a = 6.254 Å, b = 10.177 Å, c = 8.613 Å
α = 90.03°, β = 90.00°, γ = 107.89°
Atoms (fractional coordinates):
Na 0.807 0.614 0.001
Na 0.802 0.604 0.501
Na 0.500 0.000 0.000
Na 0.198 0.396 0.499
Na 0.193 0.386 0.999
Sr 0.633 0.266 0.260
Sr 0.633 0.266 0.740
Sr 0.000 0.000 0.500
Sr 0.367 0.734 0.260
Sr 0.367 0.734 0.740
Ca 0.000 0.000 0.000


[8]
Computed, not measured: NaSr2Ca4 after structural relaxation at the PBE-GGA level of DFT.

As for the space-group type: C2/m. The density of states at the Fermi level is 0.9641 states/eV/atom. Its formation energy is 0.078 eV/atom.

a = 3.857 Å, b = 9.861 Å, c = 9.583 Å
α = 116.30°, β = 101.61°, γ = 90.00°
Atoms (fractional coordinates):
Na 0.000 0.000 0.000
Sr 0.782 0.850 0.565
Sr 0.218 0.150 0.435
Ca 0.929 0.298 0.858
Ca 0.071 0.702 0.142
Ca 0.637 0.420 0.274
Ca 0.363 0.580 0.726


[9]
Computed, not measured: Na8SrCa3 after structural relaxation at the PBE-GGA level of DFT.

As for the space-group type: P3m1. The density of states at the Fermi level is 0.6900 states/eV/atom. Its formation energy is 0.037 eV/atom.

a = 6.925 Å, b = 6.925 Å, c = 11.198 Å
α = 90.00°, β = 90.00°, γ = 120.00°
Atoms (fractional coordinates):
Na 0.333 0.667 0.499
Na 0.333 0.667 0.000
Na 0.505 0.011 0.753
Na 0.505 0.495 0.753
Na 0.989 0.495 0.753
Na 0.162 0.324 0.247
Na 0.162 0.838 0.247
Na 0.676 0.838 0.247
Sr 0.000 0.000 0.564
Ca 0.667 0.333 0.431
Ca 0.667 0.333 0.064
Ca 0.000 0.000 0.942


[10]
Computed, not measured: Na2Sr8Ca after structural relaxation at the PBE-GGA level of DFT.

As for the space-group type: C2/m. The density of states at the Fermi level is 1.1358 states/eV/atom. Its formation energy is 0.091 eV/atom. As for the energy above the lowest structure with this stoichiometry: 0.062 eV/atom.

a = 6.810 Å, b = 10.527 Å, c = 10.059 Å
α = 58.45°, β = 79.48°, γ = 69.58°
Atoms (fractional coordinates):
Na 0.000 0.309 0.381
Na 0.000 0.691 0.619
Sr 0.898 0.085 0.234
Sr 0.898 0.319 0.766
Sr 0.312 0.390 0.000
Sr 0.500 0.771 0.459
Sr 0.500 0.229 0.541
Sr 0.688 0.610 0.000
Sr 0.102 0.681 0.234
Sr 0.102 0.915 0.766
Ca 0.500 0.000 0.000


[11]
Computed, not measured: NaSr5Ca4 after structural relaxation at the PBE-GGA level of DFT.

As for the space-group type: P4/mmm. The density of states at the Fermi level is 1.0674 states/eV/atom. Its formation energy is 0.020 eV/atom.

a = 4.520 Å, b = 4.520 Å, c = 23.174 Å
α = 90.00°, β = 90.00°, γ = 90.00°
Atoms (fractional coordinates):
Na 0.000 0.000 0.000
Sr 0.500 0.500 0.096
Sr 0.500 0.500 0.299
Sr 0.500 0.500 0.500
Sr 0.500 0.500 0.701
Sr 0.500 0.500 0.904
Ca 0.000 0.000 0.200
Ca 0.000 0.000 0.399
Ca 0.000 0.000 0.601
Ca 0.000 0.000 0.800


[12]
Computed, not measured: Na2Sr5Ca2 after structural relaxation at the PBE-GGA level of DFT.

As for the space-group type: Ima2. The density of states at the Fermi level is 0.7985 states/eV/atom. Its formation energy is 0.089 eV/atom. As for the energy above the lowest structure with this stoichiometry: 0.056 eV/atom.

a = 10.658 Å, b = 7.344 Å, c = 12.962 Å
α = 106.46°, β = 114.28°, γ = 90.00°
Atoms (fractional coordinates):
Na 0.000 0.871 0.000
Na 0.500 0.371 0.000
Na 0.414 0.628 0.500
Na 0.586 0.128 0.500
Sr 0.169 0.539 0.840
Sr 0.831 0.699 0.160
Sr 0.171 0.039 0.840
Sr 0.829 0.199 0.160
Sr 0.208 0.033 0.325
Sr 0.792 0.708 0.675
Sr 0.617 0.533 0.325
Sr 0.383 0.208 0.675
Sr 0.915 0.118 0.500
Sr 0.085 0.618 0.500
Ca 0.183 0.443 0.147
Ca 0.817 0.296 0.853
Ca 0.464 0.943 0.147
Ca 0.536 0.796 0.853


[13]
Computed, not measured: NaSrCa after structural relaxation at the PBE-GGA level of DFT.

As for the space-group type: P3m1. The density of states at the Fermi level is 0.6791 states/eV/atom. Its formation energy is 0.067 eV/atom. As for the energy above the lowest structure with this stoichiometry: 0.036 eV/atom.

a = 3.959 Å, b = 6.303 Å, c = 6.303 Å
α = 120.00°, β = 90.00°, γ = 90.00°
Atoms (fractional coordinates):
Sr 0.639 0.667 0.333
Ca 0.083 0.000 0.000
Na 0.279 0.333 0.667


[14]
Computed, not measured: NaSr2Ca8 after structural relaxation at the PBE-GGA level of DFT.

As for the space-group type: C2/m. The density of states at the Fermi level is 1.2682 states/eV/atom. Its formation energy is 0.035 eV/atom. As for the energy above the lowest structure with this stoichiometry: 0.000 eV/atom.

a = 5.618 Å, b = 8.829 Å, c = 10.461 Å
α = 104.95°, β = 105.58°, γ = 90.00°
Atoms (fractional coordinates):
Na 0.500 0.000 0.000
Sr 0.224 0.638 0.447
Sr 0.776 0.362 0.553
Ca 0.587 0.444 0.174
Ca 0.321 0.093 0.642
Ca 0.134 0.169 0.267
Ca 0.042 0.723 0.084
Ca 0.866 0.831 0.733
Ca 0.679 0.907 0.358
Ca 0.413 0.556 0.826
Ca 0.958 0.277 0.916


[15]
Computed, not measured: NaSr15Ca4 after structural relaxation at the PBE-GGA level of DFT.

As for the space-group type: P4/mmm. The density of states at the Fermi level is 1.0619 states/eV/atom. Its formation energy is 0.015 eV/atom.

a = 5.870 Å, b = 5.870 Å, c = 29.756 Å
α = 90.00°, β = 90.00°, γ = 90.00°
Atoms (fractional coordinates):
Na 0.000 0.000 0.000
Sr 0.500 0.500 0.000
Sr 0.500 0.500 0.200
Sr 0.500 0.500 0.400
Sr 0.500 0.500 0.600
Sr 0.500 0.500 0.800
Sr 0.500 0.000 0.101
Sr 0.500 0.000 0.300
Sr 0.500 0.000 0.500
Sr 0.500 0.000 0.700
Sr 0.500 0.000 0.899
Sr 0.000 0.500 0.101
Sr 0.000 0.500 0.300
Sr 0.000 0.500 0.500
Sr 0.000 0.500 0.700
Sr 0.000 0.500 0.899
Ca 0.000 0.000 0.200
Ca 0.000 0.000 0.400
Ca 0.000 0.000 0.600
Ca 0.000 0.000 0.800


[16]
Computed, not measured: Na3Sr3Ca after structural relaxation at the PBE-GGA level of DFT.

As for the space-group type: C2/m. The density of states at the Fermi level is 0.6673 states/eV/atom. Its formation energy is 0.078 eV/atom. As for the energy above the lowest structure with this stoichiometry: 0.000 eV/atom.

a = 10.550 Å, b = 10.550 Å, c = 6.497 Å
α = 71.89°, β = 71.89°, γ = 77.14°
Atoms (fractional coordinates):
Na 0.895 0.895 0.103
Na 0.001 0.445 0.778
Na 0.445 0.001 0.778
Na 0.999 0.555 0.222
Na 0.555 0.999 0.222
Na 0.105 0.105 0.897
Sr 0.625 0.625 0.374
Sr 0.165 0.835 0.500
Sr 0.835 0.165 0.500
Sr 0.352 0.648 0.000
Sr 0.648 0.352 0.000
Sr 0.375 0.375 0.626
Ca 0.764 0.764 0.734
Ca 0.236 0.236 0.266


[17]
Computed, not measured: Na2Sr5Ca5 after structural relaxation at the PBE-GGA level of DFT.

As for the space-group type: C2/m. The density of states at the Fermi level is 0.9298 states/eV/atom. Its formation energy is 0.027 eV/atom. As for the energy above the lowest structure with this stoichiometry: 0.000 eV/atom.

a = 4.453 Å, b = 13.445 Å, c = 9.952 Å
α = 74.16°, β = 77.07°, γ = 80.47°
Atoms (fractional coordinates):
Na 0.825 0.504 0.846
Na 0.175 0.496 0.154
Sr 0.500 0.500 0.500
Sr 0.414 0.256 0.917
Sr 0.332 0.012 0.324
Sr 0.668 0.988 0.676
Sr 0.586 0.744 0.083
Ca 0.912 0.761 0.415
Ca 0.262 0.734 0.741
Ca 0.738 0.266 0.259
Ca 0.088 0.239 0.585
Ca 0.000 0.000 0.000


[18]
Computed, not measured: Na2SrCa4 after structural relaxation at the PBE-GGA level of DFT.

As for the space-group type: I4/mmm. The density of states at the Fermi level is 1.3755 states/eV/atom. Its formation energy is 0.593 eV/atom. As for the energy above the lowest structure with this stoichiometry: 0.553 eV/atom.

a = 6.516 Å, b = 6.516 Å, c = 9.929 Å
α = 109.15°, β = 109.15°, γ = 90.00°
Site moments in Bohr magnetons follow the coordinates.
Atoms (fractional coordinates):
Na 0.599 0.599 0.198  0.00
Na 0.401 0.401 0.802  0.00
Sr 0.000 0.000 0.000  0.19
Ca 0.798 0.798 0.597  0.04
Ca 0.202 0.202 0.403  0.04
Ca 0.000 0.500 0.000  0.12
Ca 0.500 0.000 0.000  0.12


[19]
Computed, not measured: Na12Sr7Ca after structural relaxation at the PBE-GGA level of DFT.

As for the space-group type: Im-3. The density of states at the Fermi level is 0.9040 states/eV/atom. Its formation energy is 0.376 eV/atom.

a = 11.422 Å, b = 11.422 Å, c = 11.422 Å
α = 109.47°, β = 109.47°, γ = 109.47°
Atoms (fractional coordinates):
Na 0.382 0.636 0.746
Na 0.889 0.636 0.254
Na 0.618 0.364 0.254
Na 0.111 0.364 0.746
Na 0.746 0.111 0.364
Na 0.746 0.382 0.636
Na 0.254 0.889 0.636
Na 0.254 0.618 0.364
Na 0.636 0.746 0.382
Na 0.364 0.254 0.618
Na 0.636 0.254 0.889
Na 0.364 0.746 0.111
Sr 0.500 0.500 0.000
Sr 0.000 0.500 0.500
Sr 0.500 0.000 0.500
Sr 0.500 0.500 0.500
Sr 0.000 0.000 0.500
Sr 0.500 0.000 0.000
Sr 0.000 0.500 0.000
Ca 0.000 0.000 0.000


[20]
Computed, not measured: NaSr3Ca after structural relaxation at the PBE-GGA level of DFT.

As for the space-group type: Pm-3m. The density of states at the Fermi level is 2.4367 states/eV/atom. Its formation energy is 0.551 eV/atom. As for the energy above the lowest structure with this stoichiometry: 0.494 eV/atom.

a = 6.996 Å, b = 6.996 Å, c = 6.996 Å
α = 90.00°, β = 90.00°, γ = 90.00°
Atoms (fractional coordinates):
Sr 0.000 0.500 0.000
Sr 0.000 0.000 0.500
Sr 0.500 0.000 0.000
Ca 0.000 0.000 0.000
Na 0.500 0.500 0.500